This record from the Alexandria database describes a relaxed CdIn4Pb3 crystal. The functional is PBE-GGA.

a b c (Å): 3.9726 3.9726 14.5653
angles (deg): 90.00 90.00 90.00
Fractional positions:
In1 0.0000 0.0000 0.3728
In2 0.0000 0.0000 0.6272
Cd1 0.5000 0.5000 0.0000
Pb1 0.5000 0.5000 0.5000
In3 0.0000 0.0000 0.8867
In4 0.0000 0.0000 0.1133
Pb2 0.5000 0.5000 0.7606
Pb3 0.5000 0.5000 0.2394

energy of formation: 0.04 eV/atom

This record from the Alexandria database describes a relaxed CdIn2PdPb crystal. The functional is PBE-GGA.

a b c (Å): 5.1517 5.1517 5.2605
angles (deg): 90.00 90.00 90.00
Fractional positions:
In1 0.5000 0.0000 0.0000
Cd1 0.0000 0.0000 0.5000
Pd1 0.0000 0.0000 0.0000
Pb1 0.5000 0.5000 0.5000
In2 0.0000 0.5000 0.0000

energy of formation: -0.02 eV/atom

This record from the Alexandria database describes a relaxed PmCdInPb crystal. The functional is PBE-GGA.

a b c (Å): 5.4309 5.4309 5.4309
angles (deg): 60.00 60.00 60.00
Fractional positions:
Pb1 0.0000 0.0000 0.0000
Pm1 0.5000 0.5000 0.5000
In1 0.2500 0.2500 0.2500
Cd1 0.7500 0.7500 0.7500

ΔE to the lowest computed polymorph: 232 meV per atom
energy of formation: -0.17 eV/atom

This record from the Alexandria database describes a relaxed PmCdInPb crystal. The functional is PBE-GGA.

a b c (Å): 4.6247 4.7347 4.8693
angles (deg): 90.00 90.00 90.00
Fractional positions:
Cd1 0.0000 0.0000 0.0000
Pb1 0.5000 0.0000 0.5000
In1 0.5000 0.5000 0.0000
Pm1 0.0000 0.5000 0.5000

ΔE to the lowest computed polymorph: 0 meV per atom
energy of formation: -0.40 eV/atom

This record from the Alexandria database describes a relaxed Rb2Cd4InPb3 crystal. The functional is PBE-GGA.

a b c (Å): 5.0808 5.0808 12.8141
angles (deg): 90.00 90.00 90.00
Fractional positions:
Rb1 0.0000 0.5000 0.7530
Cd1 0.0000 0.5000 0.3655
Cd2 0.5000 0.0000 0.6345
Cd3 0.0000 0.0000 0.0000
Rb2 0.5000 0.0000 0.2470
Pb1 0.0000 0.5000 0.1318
Pb2 0.5000 0.0000 0.8682
Cd4 0.5000 0.5000 0.0000
In1 0.5000 0.5000 0.5000
Pb3 0.0000 0.0000 0.5000

energy of formation: -0.08 eV/atom

This record from the Alexandria database describes a relaxed Rb2Cd3In4Pb crystal. The functional is PBE-GGA.

a b c (Å): 5.0393 5.0393 12.7564
angles (deg): 90.00 90.00 90.00
Fractional positions:
In1 0.0000 0.0000 0.0000
Rb1 0.5000 0.0000 0.2467
In2 0.5000 0.5000 0.0000
Rb2 0.0000 0.5000 0.7533
Cd1 0.0000 0.0000 0.5000
Cd2 0.0000 0.5000 0.1303
In3 0.5000 0.0000 0.6404
Pb1 0.5000 0.5000 0.5000
Cd3 0.5000 0.0000 0.8697
In4 0.0000 0.5000 0.3596

energy of formation: -0.08 eV/atom

This record from the Alexandria database describes a relaxed Rb2Cd4In3Pb crystal. The functional is PBE-GGA.

a b c (Å): 5.0382 5.0382 12.6395
angles (deg): 90.00 90.00 90.00
Fractional positions:
Cd1 0.5000 0.5000 0.0000
Rb1 0.0000 0.5000 0.7542
In1 0.0000 0.0000 0.5000
Cd2 0.5000 0.0000 0.6419
Cd3 0.0000 0.0000 0.0000
Cd4 0.0000 0.5000 0.3581
Rb2 0.5000 0.0000 0.2458
Pb1 0.5000 0.5000 0.5000
In2 0.5000 0.0000 0.8737
In3 0.0000 0.5000 0.1263

energy of formation: -0.07 eV/atom

This record from the Alexandria database describes a relaxed RbCd2InPb crystal. The functional is PBE-GGA.

a b c (Å): 4.9968 5.1291 7.3239
angles (deg): 110.50 109.95 90.00
Fractional positions:
Rb1 0.4438 0.4438 0.8877
Cd1 0.0637 0.0637 0.1274
Cd2 0.6933 0.1933 0.3867
In1 0.1847 0.6847 0.3694
Pb1 0.8266 0.8266 0.6532

energy of formation: -0.08 eV/atom

| no. | ρ (Mg/m³) |
| --- | --- |
| 1 | 8.6 |
| 2 | 7.8 |
| 3 | 8.5 |
| 4 | 9.0 |
| 5 | 6.8 |
| 6 | 6.0 |
| 7 | 6.1 |
| 8 | 6.4 |